An optimized crystal structure of BaIrCl, computed with PBE-GGA.

The calculation puts the magnetic moment at 0.000 μB per atom. As for the raw formation energy: -0.96 eV per atom. The polymorph energy (0 for the lowest one) comes out at 0.69 eV/f.u.

a b c (Å): 4.3900 8.6758 9.1532
angles (deg): 90.00 90.00 90.00
Space group Imm2 (No. 44)
Inequivalent atoms, fractional coordinates:
Ba (0.0000, 0.2439, 0.0000)
Ir (0.0000, 0.0000, 0.6931)
Ir (0.0000, 0.5000, 0.2938)
Cl (0.0000, 0.0000, 0.4072)
Cl (0.0000, 0.5000, 0.6258)